# GGA-PBE La3DyHo2As6, relaxed
data_La3DyHo2As6
_cell_length_a 7.351
_cell_length_b 12.731
_cell_length_c 7.340
_cell_angle_alpha 90.00
_cell_angle_beta 109.49
_cell_angle_gamma 90.00
_space_group_name_H-M_alt 'C 1 2/m 1'
_space_group_IT_number 12
loop_
_space_group_symop_operation_xyz
'x,y,z'
'-x,-y,-z'
'-x,y,-z'
'x,-y,z'
'x+1/2,y+1/2,z'
'-x+1/2,-y+1/2,-z'
'-x+1/2,y+1/2,-z'
'x+1/2,-y+1/2,z'
loop_
_atom_site_label
_atom_site_fract_x
_atom_site_fract_y
_atom_site_fract_z
_atom_site_occupancy
La1 0.000 0.000 0.000 1
La2 0.000 0.333 0.000 1
Dy1 0.000 0.500 0.500 1
Ho1 0.000 0.167 0.500 1
As1 0.245 0.000 0.736 1
As2 0.246 0.333 0.736 1
# N(E_F): 1.3 states/eV/f.u.
# Total energy: -6.2443 eV/atom
# M_tot: 0.0 μB per cell
# DFT formation energy: -1.541 eV per atom

=====

# GGA-PBE NaTl2Ga2, relaxed
data_NaTl2Ga2
_cell_length_a 4.898
_cell_length_b 4.898
_cell_length_c 11.468
_cell_angle_alpha 90.00
_cell_angle_beta 90.00
_cell_angle_gamma 90.00
_space_group_name_H-M_alt 'I 4/m m m'
_space_group_IT_number 139
_space_group_name_Hall '-I 4 2'
loop_
_atom_site_label
_atom_site_fract_x
_atom_site_fract_y
_atom_site_fract_z
_atom_site_occupancy
Na1 0.000 0.000 0.000 1
Tl1 0.000 0.500 0.250 1
Ga1 0.000 0.000 0.391 1
# Energy relative to the lowest polymorph listed for this composition: 15 meV/atom
# N(E_F): 1.8 states/eV/f.u.
# Total energy: -2.4183 eV/atom
# M_tot: 0.0 μB per cell
# DFT formation energy: 0.003 eV per atom

=====

# GGA-PBE KInSi2, relaxed
data_KInSi2
_cell_length_a 7.242
_cell_length_b 7.242
_cell_length_c 7.242
_cell_angle_alpha 90.00
_cell_angle_beta 90.00
_cell_angle_gamma 90.00
_space_group_name_H-M_alt 'F -4 3 m'
_space_group_IT_number 216
_space_group_name_Hall 'F -4 2 3'
loop_
_atom_site_label
_atom_site_fract_x
_atom_site_fract_y
_atom_site_fract_z
_atom_site_occupancy
K1 0.000 0.000 0.000 1
In1 0.250 0.250 0.750 1
Si1 0.000 0.000 0.500 1
Si2 0.250 0.250 0.250 1
# N(E_F): 1.5 states/eV/f.u.
# Formation energy from raw total energies: 0.58 eV per atom
# Total energy: -3.0936 eV/atom
# M_tot: 0.0 μB per cell

=====

# GGA-PBE PmPrHo5, relaxed
data_PmPrHo5
_cell_length_a 5.756
_cell_length_b 8.653
_cell_length_c 11.793
_cell_angle_alpha 90.00
_cell_angle_beta 90.00
_cell_angle_gamma 90.00
_space_group_name_H-M_alt 'I m m m'
_space_group_IT_number 71
_space_group_name_Hall '-I 2 2'
loop_
_atom_site_label
_atom_site_fract_x
_atom_site_fract_y
_atom_site_fract_z
_atom_site_occupancy
Pm1 0.000 0.000 0.000 1
Pr1 0.000 0.000 0.500 1
Ho1 0.000 0.000 0.247 1
Ho2 0.000 0.320 0.000 1
Ho3 0.000 0.500 0.500 1
# Energy relative to the lowest polymorph listed for this composition: 901 meV/atom
# N(E_F): 10.0 states/eV/f.u.
# Total energy: -3.5379 eV/atom
# M_tot: 0.0 μB per cell
# DFT formation energy: 1.093 eV per atom